Here is a relaxed structure of CoHgBiW from OQMD. Energies are from PBE-GGA.

Cell lengths 6.753, 6.753, 6.753 Å; angles 90.00, 90.00, 90.00 degrees
Space group F-43m (No. 216)
Inequivalent atoms, fractional coordinates:
Co 0.000 0.000 0.000
Hg 0.000 0.000 0.500
Bi 0.250 0.250 0.750
W 0.250 0.250 0.250

Values from the calculation:
Crystal system ... cubic
E above lowest polymorph ... 148 meV/atom

---

Here is a relaxed structure of TaFeSiAu from OQMD. Energies are from PBE-GGA.

Cell lengths 6.241, 6.241, 6.241 Å; angles 90.00, 90.00, 90.00 degrees
Space group F-43m (No. 216)
Inequivalent atoms, fractional coordinates:
Ta 0.000 0.000 0.000
Fe 0.250 0.250 0.750
Si 0.000 0.000 0.500
Au 0.250 0.250 0.250

Values from the calculation:
Crystal system ... cubic
E above lowest polymorph ... 118 meV/atom

---

Here is a relaxed structure of KHfRe from OQMD. Energies are from PBE-GGA.

Cell lengths 6.685, 6.685, 6.685 Å; angles 90.00, 90.00, 90.00 degrees
Space group F-43m (No. 216)
Inequivalent atoms, fractional coordinates:
K 0.000 0.000 0.000
Hf 0.250 0.250 0.750
Re 0.250 0.250 0.250

Values from the calculation:
Crystal system ... cubic
E above lowest polymorph ... 1121 meV/atom

---

Here is a relaxed structure of TaGaMoC from OQMD. Energies are from PBE-GGA.

Cell lengths 3.1184, 3.1184, 13.2742 Å; angles 90.00, 90.00, 120.00 degrees
Space group P6_3mc (No. 186)
Inequivalent atoms, fractional coordinates:
Ta 0.3333 0.6667 0.0000
Ga 0.3333 0.6667 0.3351
Mo 0.3333 0.6667 0.6778
C 0.0000 0.0000 0.0926

Values from the calculation:
Crystal system ... hexagonal
E above lowest polymorph ... 4 meV/atom

---

Here is a relaxed structure of Gd2YSn4Au4 from OQMD. Energies are from PBE-GGA.

Cell lengths 4.591, 7.263, 15.523 Å; angles 90.00, 90.00, 90.00 degrees
Space group Immm (No. 71)
Inequivalent atoms, fractional coordinates:
Gd 0.000 0.000 0.129
Y 0.000 0.500 0.000
Sn 0.000 0.302 0.500
Sn 0.000 0.500 0.214
Au 0.000 0.203 0.331

Values from the calculation:
Crystal system ... orthorhombic

---

Here is a relaxed structure of NaNbPO from OQMD. Energies are from PBE-GGA.

Cell lengths 3.545, 3.545, 9.212 Å; angles 90.00, 90.00, 90.00 degrees
Space group P4/nmm (No. 129, origin choice 2)
Inequivalent atoms, fractional coordinates:
Na 0.250 0.750 0.000
Nb 0.250 0.250 0.364
P 0.250 0.250 0.768
O 0.250 0.750 0.500

Values from the calculation:
Crystal system ... tetragonal
E above lowest polymorph ... 369 meV/atom

---

Here is a relaxed structure of YThMg from OQMD. Energies are from PBE-GGA.

Cell lengths 7.391, 7.391, 7.391 Å; angles 90.00, 90.00, 90.00 degrees
Space group F-43m (No. 216)
Inequivalent atoms, fractional coordinates:
Y 0.000 0.000 0.000
Th 0.000 0.000 0.500
Mg 0.250 0.250 0.750

Values from the calculation:
Crystal system ... cubic
E above lowest polymorph ... 0 meV/atom

---

Here is a relaxed structure of NdTlSbSe3 from OQMD. Energies are from PBE-GGA.

Cell lengths 4.131, 14.728, 11.975 Å; angles 90.00, 90.00, 90.00 degrees
Space group Cmcm (No. 63)
Inequivalent atoms, fractional coordinates:
Nd 0.000 0.000 0.000
Tl 0.000 0.313 0.250
Sb 0.000 0.372 0.750
Se 0.000 0.019 0.750
Se 0.000 0.359 0.517

Values from the calculation:
Crystal system ... orthorhombic

---

no.,E_tot (eV/atom)
1,-4.946
2,-6.990
3,-5.031
4,-9.052
5,-4.739
6,-6.316
7,-4.608
8,-4.415